Material: CaHgBi2
Method: DFT, GGA-PBE
State: optimized geometry

abc: 4.345 4.345 6.531
angles: 90.00 90.00 90.00
Fractional coordinates of all 4 atoms:
Ca1 0.500 0.500 0.000
Bi1 0.000 0.000 0.234
Bi2 0.000 0.000 0.766
Hg1 0.500 0.500 0.500

Results
Its raw total energy is -11.42 eV per formula unit. The value obtained for the spin magnetization is 0.00 μB/cell.